Entry 1:
Density functional theory data (GGA-PBE) for ScRhCl2 after structural relaxation.

Energy relative to the lowest polymorph listed for this composition   313.4 meV/atom

Cell: 4.4625 4.4865 8.1075 Å, 90.00 90.00 90.00°
Space group Cmm2 (No. 35)
Symmetry-distinct sites (fractional):
Sc 0.0000 0.0000 0.0000 x2
Rh 0.0000 0.5000 0.7970 x2
Cl 0.0000 0.0000 0.5988 x2
Cl 0.0000 0.5000 0.1994 x2

Entry 2:
Density functional theory data (GGA-PBE) for Sc2RhCl after structural relaxation.

Energy relative to the lowest polymorph listed for this composition   67.6 meV/atom

Cell: 3.9120 3.9120 22.8008 Å, 90.00 90.00 120.00°
Space group R-3m (No. 166, hexagonal axes)
Symmetry-distinct sites (fractional):
Sc 0.0000 0.0000 0.1095 x6
Rh 0.0000 0.0000 0.5000 x3
Cl 0.0000 0.0000 0.0000 x3

Entry 3:
Density functional theory data (GGA-PBE) for Sc2RhCl after structural relaxation.

Energy relative to the lowest polymorph listed for this composition   68.8 meV/atom

Cell: 6.3603 3.6788 7.3876 Å, 90.00 106.57 90.00°
Space group C2/m (No. 12)
Symmetry-distinct sites (fractional):
Sc 0.2354 0.0000 0.2092 x4
Rh 0.0000 0.5000 0.0000 x2
Cl 0.0000 0.0000 0.5000 x2

Entry 4:
Density functional theory data (GGA-PBE) for ScRhCl2 after structural relaxation.

Energy relative to the lowest polymorph listed for this composition   244.1 meV/atom

Cell: 3.4047 3.4047 25.9635 Å, 90.00 90.00 120.00°
Space group R3m (No. 160, hexagonal axes)
Symmetry-distinct sites (fractional):
Sc 0.0000 0.0000 0.0000 x3
Rh 0.0000 0.0000 0.7374 x3
Cl 0.0000 0.0000 0.2682 x3
Cl 0.0000 0.0000 0.4696 x3

Entry 5:
Density functional theory data (GGA-PBE) for Sc2RhCl after structural relaxation.

Energy relative to the lowest polymorph listed for this composition   463.1 meV/atom

Cell: 3.6721 3.6721 11.2323 Å, 90.00 90.00 90.00°
Space group I-4m2 (No. 119)
Symmetry-distinct sites (fractional):
Sc 0.0000 0.0000 0.0000 x2
Sc 0.0000 0.5000 0.2500 x2
Rh 0.0000 0.0000 0.5000 x2
Cl 0.0000 0.5000 0.7500 x2

Entry 6:
Density functional theory data (GGA-PBE) for ScRhCl2 after structural relaxation.

Energy relative to the lowest polymorph listed for this composition   769.5 meV/atom

Cell: 3.2367 5.8426 8.2069 Å, 90.00 90.00 90.00°
Space group Cmmm (No. 65)
Symmetry-distinct sites (fractional):
Sc 0.0000 0.0000 0.0000 x2
Rh 0.0000 0.0000 0.5000 x2
Cl 0.0000 0.5000 0.2433 x4

Entry 7:
Density functional theory data (GGA-PBE) for ScRhCl2 after structural relaxation.

Energy relative to the lowest polymorph listed for this composition   421.8 meV/atom

Cell: 6.0235 8.2183 4.2896 Å, 90.00 134.42 90.00°
Space group C2/m (No. 12)
Symmetry-distinct sites (fractional):
Sc 0.0000 0.0000 0.0000 x2
Rh 0.0000 0.5000 0.0000 x2
Cl 0.2500 0.2500 0.5000 x4

Entry 8:
Density functional theory data (GGA-PBE) for Sc2RhCl after structural relaxation.

Energy relative to the lowest polymorph listed for this composition   231.4 meV/atom

Cell: 3.7548 3.7548 5.4535 Å, 90.00 90.00 90.00°
Space group P4mm (No. 99)
Symmetry-distinct sites (fractional):
Sc 0.0000 0.0000 0.0000 x1
Sc 0.5000 0.5000 0.4993 x1
Rh 0.0000 0.0000 0.4991 x1
Cl 0.5000 0.5000 0.9989 x1

Entry 9:
Density functional theory data (GGA-PBE) for ScRhCl2 after structural relaxation.

Energy relative to the lowest polymorph listed for this composition   563.7 meV/atom

Cell: 6.4117 6.4117 6.4117 Å, 90.00 90.00 90.00°
Space group Fm-3m (No. 225)
Symmetry-distinct sites (fractional):
Sc 0.0000 0.0000 0.0000 x4
Rh 0.0000 0.0000 0.5000 x4
Cl 0.2500 0.2500 0.2500 x8

Entry 10:
Density functional theory data (GGA-PBE) for ScRhCl3 after structural relaxation.

Energy relative to the lowest polymorph listed for this composition   284.2 meV/atom

Cell: 4.7993 4.7993 4.7993 Å, 90.00 90.00 90.00°
Space group Pm-3m (No. 221)
Symmetry-distinct sites (fractional):
Sc 0.0000 0.0000 0.0000 x1
Rh 0.5000 0.5000 0.5000 x1
Cl 0.0000 0.5000 0.5000 x3

Entry 11:
Density functional theory data (GGA-PBE) for ScRhCl2 after structural relaxation.

Energy relative to the lowest polymorph listed for this composition   649.0 meV/atom

Cell: 6.5443 6.5443 6.5443 Å, 90.00 90.00 90.00°
Space group F-43m (No. 216)
Symmetry-distinct sites (fractional):
Sc 0.0000 0.0000 0.0000 x4
Rh 0.2500 0.2500 0.7500 x4
Cl 0.0000 0.0000 0.5000 x4
Cl 0.2500 0.2500 0.2500 x4

Entry 12:
Density functional theory data (GGA-PBE) for ScRhCl2 after structural relaxation.

Energy relative to the lowest polymorph listed for this composition   355.2 meV/atom

Cell: 4.3773 4.3773 15.8797 Å, 90.00 90.00 90.00°
Space group I-42d (No. 122)
Symmetry-distinct sites (fractional):
Sc 0.0000 0.0000 0.0000 x4
Rh 0.0000 0.0000 0.5000 x4
Cl 0.2445 0.2500 0.6250 x8

Entry 13:
Density functional theory data (GGA-PBE) for Sc2RhCl after structural relaxation.

Energy relative to the lowest polymorph listed for this composition   164.0 meV/atom

Cell: 3.1792 3.4949 14.4454 Å, 90.00 90.00 90.00°
Space group Imm2 (No. 44)
Symmetry-distinct sites (fractional):
Sc 0.0000 0.0000 0.0000 x2
Sc 0.0000 0.5000 0.2810 x2
Rh 0.0000 0.0000 0.4126 x2
Cl 0.0000 0.5000 0.6635 x2

Entry 14:
Density functional theory data (GGA-PBE) for Sc2RhCl after structural relaxation.

Energy relative to the lowest polymorph listed for this composition   262.1 meV/atom

Cell: 10.3138 3.1435 4.5353 Å, 90.00 90.09 90.00°
Space group Cm (No. 8)
Symmetry-distinct sites (fractional):
Sc 0.0000 0.0000 0.0000 x2
Sc 0.2421 0.5000 0.5007 x2
Rh 0.4854 0.0000 0.5001 x2
Cl 0.2546 0.0000 0.0009 x2

Entry 15:
Density functional theory data (GGA-PBE) for Sc2RhCl after structural relaxation.

Energy relative to the lowest polymorph listed for this composition   388.5 meV/atom

Cell: 3.7974 5.5863 7.1908 Å, 90.00 90.00 90.00°
Space group Immm (No. 71)
Symmetry-distinct sites (fractional):
Sc 0.0000 0.0000 0.2495 x4
Rh 0.0000 0.5000 0.0000 x2
Cl 0.0000 0.5000 0.5000 x2

Entry 16:
Density functional theory data (GGA-PBE) for Sc2RhCl after structural relaxation.

Energy relative to the lowest polymorph listed for this composition   464.6 meV/atom

Cell: 3.1579 3.1579 8.7806 Å, 90.00 90.00 90.00°
Space group P4mm (No. 99)
Symmetry-distinct sites (fractional):
Sc 0.0000 0.0000 0.0000 x1
Sc 0.5000 0.5000 0.3082 x1
Rh 0.5000 0.5000 0.8380 x1
Cl 0.0000 0.0000 0.4756 x1

Entry 17:
Density functional theory data (GGA-PBE) for Sc2RhCl after structural relaxation.

Energy relative to the lowest polymorph listed for this composition   313.0 meV/atom

Cell: 6.9218 7.0510 3.0985 Å, 90.00 103.93 90.00°
Space group C2/m (No. 12)
Symmetry-distinct sites (fractional):
Sc 0.2500 0.2500 0.0000 x4
Rh 0.0000 0.0000 0.5000 x2
Cl 0.0000 0.5000 0.5000 x2

Entry 18:
Density functional theory data (GGA-PBE) for ScRhCl2 after structural relaxation.

Energy relative to the lowest polymorph listed for this composition   478.6 meV/atom

Cell: 4.3292 4.0903 4.3414 Å, 90.00 91.99 90.00°
Space group P2/m (No. 10)
Symmetry-distinct sites (fractional):
Sc 0.0000 0.0000 0.0000 x1
Rh 0.5000 0.0000 0.5000 x1
Cl 0.2578 0.5000 0.7422 x2

Entry 19:
Density functional theory data (GGA-PBE) for ScRh4Cl after structural relaxation.

Cell: 7.3948 7.3948 7.3948 Å, 90.00 90.00 90.00°
Space group F-43m (No. 216)
Symmetry-distinct sites (fractional):
Sc 0.0000 0.0000 0.0000 x4
Rh 0.1254 0.1254 0.3746 x16
Cl 0.2500 0.2500 0.7500 x4

Entry 20:
Density functional theory data (GGA-PBE) for ScRhCl2 after structural relaxation.

Energy relative to the lowest polymorph listed for this composition   512.4 meV/atom

Cell: 3.1711 4.1176 5.4102 Å, 90.00 90.00 90.00°
Space group Pmmm (No. 47)
Symmetry-distinct sites (fractional):
Sc 0.0000 0.0000 0.0000 x1
Rh 0.5000 0.0000 0.5000 x1
Cl 0.0000 0.5000 0.5000 x1
Cl 0.5000 0.5000 0.0000 x1

Entry 21:
Density functional theory data (GGA-PBE) for ScRhCl2 after structural relaxation.

Energy relative to the lowest polymorph listed for this composition   592.2 meV/atom

Cell: 3.2370 3.2370 27.6024 Å, 90.00 90.00 120.00°
Space group R-3m (No. 166, hexagonal axes)
Symmetry-distinct sites (fractional):
Sc 0.0000 0.0000 0.0000 x3
Rh 0.0000 0.0000 0.5000 x3
Cl 0.0000 0.0000 0.2719 x6

Entry 22:
Density functional theory data (GGA-PBE) for ScRhCl3 after structural relaxation.

Energy relative to the lowest polymorph listed for this composition   0.0 meV/atom

Cell: 4.9384 4.9384 4.9384 Å, 90.00 90.00 90.00°
Space group Pm-3m (No. 221)
Symmetry-distinct sites (fractional):
Sc 0.0000 0.0000 0.0000 x1
Rh 0.5000 0.5000 0.5000 x1
Cl 0.0000 0.0000 0.5000 x3

Entry 23:
Density functional theory data (GGA-PBE) for ScRhCl2 after structural relaxation.

Energy relative to the lowest polymorph listed for this composition   204.6 meV/atom

Cell: 3.5261 4.0294 13.3851 Å, 90.00 90.00 90.00°
Space group Immm (No. 71)
Symmetry-distinct sites (fractional):
Sc 0.0000 0.0000 0.0000 x2
Rh 0.0000 0.0000 0.5000 x2
Cl 0.0000 0.5000 0.3587 x4

Entry 24:
Density functional theory data (GGA-PBE) for ScRhCl2 after structural relaxation.

Energy relative to the lowest polymorph listed for this composition   118.2 meV/atom

Cell: 9.9514 3.3480 5.2674 Å, 90.00 99.09 90.00°
Space group Cm (No. 8)
Symmetry-distinct sites (fractional):
Sc 0.0000 0.0000 0.0000 x2
Rh 0.1319 0.5000 0.2780 x2
Cl 0.2799 0.0000 0.0099 x2
Cl 0.4936 0.0000 0.6011 x2

Entry 25:
Density functional theory data (GGA-PBE) for ScRhCl2 after structural relaxation.

Energy relative to the lowest polymorph listed for this composition   165.5 meV/atom

Cell: 3.4416 4.6119 12.6134 Å, 90.00 90.00 90.00°
Space group Imm2 (No. 44)
Symmetry-distinct sites (fractional):
Sc 0.0000 0.0000 0.0000 x2
Rh 0.0000 0.5000 0.3633 x2
Cl 0.0000 0.0000 0.4203 x2
Cl 0.0000 0.5000 0.6515 x2

Entry 26:
Density functional theory data (GGA-PBE) for ScRhCl2 after structural relaxation.

Energy relative to the lowest polymorph listed for this composition   406.7 meV/atom

Cell: 3.2707 3.2707 24.3708 Å, 90.00 90.00 120.00°
Space group R-3m (No. 166, hexagonal axes)
Symmetry-distinct sites (fractional):
Sc 0.0000 0.0000 0.0000 x3
Rh 0.0000 0.0000 0.5000 x3
Cl 0.0000 0.0000 0.4039 x6

Entry 27:
Density functional theory data (GGA-PBE) for Sc2RhCl after structural relaxation.

Energy relative to the lowest polymorph listed for this composition   422.1 meV/atom

Cell: 6.7709 6.7709 7.4877 Å, 90.00 90.00 90.00°
Space group I-42d (No. 122)
Symmetry-distinct sites (fractional):
Sc 0.2424 0.7500 0.1250 x8
Rh 0.0000 0.0000 0.0000 x4
Cl 0.0000 0.0000 0.5000 x4

Entry 28:
Density functional theory data (GGA-PBE) for Sc2RhCl after structural relaxation.

Energy relative to the lowest polymorph listed for this composition   486.3 meV/atom

Cell: 6.6494 6.6494 6.6494 Å, 90.00 90.00 90.00°
Space group Fm-3m (No. 225)
Symmetry-distinct sites (fractional):
Sc 0.2500 0.2500 0.2500 x8
Rh 0.0000 0.0000 0.0000 x4
Cl 0.0000 0.0000 0.5000 x4

Entry 29:
Density functional theory data (GGA-PBE) for Sc2Rh2Cl after structural relaxation.

Cell: 5.0453 5.0453 7.8364 Å, 90.00 90.00 90.00°
Space group I4/mmm (No. 139)
Symmetry-distinct sites (fractional):
Sc 0.0000 0.5000 0.2500 x4
Rh 0.0000 0.0000 0.1601 x4
Cl 0.0000 0.0000 0.5000 x2

Entry 30:
Density functional theory data (GGA-PBE) for ScRhCl2 after structural relaxation.

Energy relative to the lowest polymorph listed for this composition   535.4 meV/atom

Cell: 3.7175 3.7175 9.9231 Å, 90.00 90.00 90.00°
Space group I-4m2 (No. 119)
Symmetry-distinct sites (fractional):
Sc 0.0000 0.0000 0.0000 x2
Rh 0.0000 0.5000 0.2500 x2
Cl 0.0000 0.0000 0.5000 x2
Cl 0.0000 0.5000 0.7500 x2

Table of total magnetization (μB per formula unit), in record order: 0.001; 0.000; 0.000; 0.343; 0.000; 1.320; 0.000; 0.000; 0.000; 0.114; 0.003; 0.000; 0.000; 0.001; 0.000; 0.408; 0.000; 0.000; 1.198; 0.000; 1.184; 1.021; 0.136; 0.000; 0.000; 0.769; 0.000; 0.000; 0.000; 0.000
Table of formation energy from raw total energies (eV per atom), in record order: -0.806; -1.038; -1.037; -0.875; -0.643; -0.350; -0.698; -0.875; -0.556; -0.330; -0.471; -0.764; -0.942; -0.844; -0.718; -0.641; -0.793; -0.641; 0.097; -0.607; -0.527; -0.614; -0.915; -1.001; -0.954; -0.713; -0.684; -0.620; -0.472; -0.584
Table of calculated density (g/cm3), in record order: 4.48; 3.76; 4.58; 4.18; 5.01; 4.68; 4.79; 4.93; 5.51; 3.82; 5.18; 4.78; 4.72; 5.16; 4.97; 4.33; 5.17; 4.73; 8.08; 5.14; 4.35; 3.51; 3.82; 4.19; 3.63; 4.83; 4.42; 5.16; 5.51; 5.30